# 1
Sc2CdAs PBE relaxed; SG = Cmmm, No. 65; excess energy over the best structure of this formula in the dataset = 15.7 kJ/mol of atoms; calculated volume = 20.448 Å³/atom; DOS(E_F) = 3.64 states/eV/f.u.
1.0
6.613 0.000 0.000
0.000 6.624 0.000
0.000 0.000 3.735
Sc Cd As
4 2 2
Cartesian
1.653 1.656 0.000
1.653 4.968 0.000
4.960 1.656 0.000
4.960 4.968 0.000
0.000 0.000 1.867
3.306 3.312 1.867
0.000 3.312 1.867
3.306 0.000 1.867

# 2
Sc2CdAs PBE relaxed; SG = Immm, No. 71; excess energy over the best structure of this formula in the dataset = 17.0 kJ/mol of atoms; calculated volume = 21.333 Å³/atom; DOS(E_F) = 3.63 states/eV/f.u.
1.0
3.945 0.000 0.000
0.000 5.131 0.000
0.000 0.000 8.431
Sc Cd As
4 2 2
Cartesian
0.000 0.000 1.880
0.000 0.000 6.551
1.973 2.565 2.336
1.973 2.565 6.095
0.000 2.565 0.000
1.973 0.000 4.216
0.000 2.565 4.216
1.973 0.000 0.000

# 3
Sc2CdAs PBE relaxed; SG = P4mm, No. 99; excess energy over the best structure of this formula in the dataset = 20.7 kJ/mol of atoms; calculated volume = 21.753 Å³/atom; DOS(E_F) = 2.64 states/eV/f.u.
1.0
3.884 0.000 0.000
0.000 3.884 0.000
0.000 0.000 5.767
Sc Cd As
2 1 1
Cartesian
0.000 0.000 0.000
1.942 1.942 1.879
1.942 1.942 4.719
0.000 0.000 2.745

# 4
ScCdAs3 PBE relaxed; SG = Pm-3m, No. 221; excess energy over the best structure of this formula in the dataset = 40.2 kJ/mol of atoms; calculated volume = 26.190 Å³/atom; DOS(E_F) = 4.98 states/eV/f.u.
1.0
5.078 0.000 0.000
0.000 5.078 0.000
0.000 0.000 5.078
Sc Cd As
1 1 3
Cartesian
0.000 0.000 0.000
2.539 2.539 2.539
0.000 2.539 2.539
2.539 0.000 2.539
2.539 2.539 0.000

The following energy of formation values (in eV per atom) correspond, in order, to the records above: -0.553 -0.539 -0.500 0.604.